# Ac6Pr5Er2 (PBE, relaxed)
data_Ac6Pr5Er2
_cell_length_a 11.414
_cell_length_b 24.183
_cell_length_c 3.769
_cell_angle_alpha 90.00
_cell_angle_beta 90.00
_cell_angle_gamma 90.00
_symmetry_space_group_name_H-M 'P b a m'
_symmetry_Int_Tables_number 55
loop_
_symmetry_equiv_pos_as_xyz
'x,y,z'
'-x,-y,-z'
'-x,-y,z'
'x,y,-z'
'x+1/2,-y+1/2,-z'
'-x+1/2,y+1/2,z'
'-x+1/2,y+1/2,-z'
'x+1/2,-y+1/2,z'
loop_
_atom_site_label
_atom_site_fract_x
_atom_site_fract_y
_atom_site_fract_z
_atom_site_occupancy
Ac1 0.019 0.113 0.000 1
Ac2 0.147 0.384 0.000 1
Ac3 0.166 0.635 0.500 1
Pr1 0.000 0.500 0.500 1
Pr2 0.085 0.249 0.500 1
Pr3 0.165 0.997 0.500 1
Er1 0.165 0.766 0.000 1
# M_tot	0.01	Bohr magnetons per cell
# raw total energy	-111.7	eV/cell
# density	7.665	Mg/m³